Computed, not measured: an optimized crystal structure of NaTe3Cl at the PBE-GGA level of DFT.

Lattice parameters (Å, degrees): 5.4653 5.4653 5.4653 90.00 90.00 90.00
Fractional coordinates of all 5 atoms:
Na 0.0000 0.0000 0.0000
Te 0.0000 0.0000 0.5000
Te 0.0000 0.5000 0.0000
Te 0.5000 0.0000 0.0000
Cl 0.5000 0.5000 0.5000

Computed properties:
For the energy relative to the elements, uncorrected, the calculation gives 531 meV/atom. The energy above the most stable polymorph in this dataset is 305.0 meV per atom. The total energy is -9.94 eV/cell. The calculated volume comes out at 32.65 Å³/atom.